Entry from Alexandria via LeMat-Bulk: crystalline MnCuF4 at its relaxed geometry (PBE with a Hubbard U).

a b c (Å): 5.2753 5.2753 6.3178
angles (deg): 114.68 114.68 90.00
Last column: nearest neighbours and their distance in Å.
Fractional positions:
F: 0.3166 0.8166 0.2625  1 Cu 1.92
F: 0.0540 0.5540 0.7375  1 Cu 1.92
F: 0.5540 0.6834 0.7375  1 Cu 1.92
F: 0.4460 0.3166 0.2625  1 Cu 1.92
F: 0.8166 0.9460 0.2625  1 Cu 1.92
F: 0.9460 0.4460 0.2625  1 Cu 1.92
F: 0.6834 0.1834 0.7375  1 Cu 1.92
F: 0.1834 0.0540 0.7375  1 Cu 1.92
Mn: 0.2500 0.2500 0.5000  8 F 2.28
Mn: 0.7500 0.7500 0.5000  8 F 2.28
Cu: 0.0000 0.5000 0.0000  4 F 1.92
Cu: 0.5000 0.0000 0.0000  4 F 1.92

symmetry	I4/mcm (140)
offset from the most stable computed form	0.00	eV per formula unit